No. 1
## Pr2CuHg (GGA-PBE)

Data for an optimized crystal structure of Pr2CuHg.

The structure in POSCAR format:
```
Pr2CuHg
1.0
1.969 1.137 8.655
-1.969 1.137 8.655
0.000 -2.273 8.655
Pr Cu Hg
2 1 1
direct
0.241 0.241 0.241 Pr
0.759 0.759 0.759 Pr
0.500 0.500 0.500 Cu
0.000 0.000 0.000 Hg
```

No. 2
## Pr3CuHg2 (GGA-PBE)

Data for an optimized crystal structure of Pr3CuHg2.

The structure in POSCAR format:
```
Pr3CuHg2
1.0
8.446 -2.776 0.000
8.446 2.776 0.000
0.000 0.000 7.193
Pr Cu Hg
6 2 4
direct
0.104 0.896 0.750 Pr
0.355 0.355 0.000 Pr
0.355 0.355 0.500 Pr
0.645 0.645 0.000 Pr
0.645 0.645 0.500 Pr
0.896 0.104 0.250 Pr
0.393 0.607 0.250 Cu
0.607 0.393 0.750 Cu
0.187 0.188 0.250 Hg
0.188 0.187 0.750 Hg
0.812 0.813 0.250 Hg
0.813 0.812 0.750 Hg
```

| no. | formation energy from the elements (eV/atom) | size of the total moment (μB per cell) | E (eV per atom) |
| --- | --- | --- | --- |
| 1 | -0.121 | 0.001 | -3.61 |
| 2 | -0.253 | 0.000 | -3.43 |